! Sr2PmSn GGA-PBE relaxed; values from VASP
&SYSTEM
  ibrav = 0, nat = 4, ntyp = 3
/
ATOMIC_SPECIES
Sr 87.62 Sr.upf
Sn 118.71 Sn.upf
Pm 145.00 Pm.upf
ATOMIC_POSITIONS angstrom
Sr -0.999 -5.287 7.303
Sr -4.433 0.446 6.148
Sn -2.716 -2.421 6.725
Pm 0.000 0.000 0.000
CELL_PARAMETERS angstrom
-0.969 2.537 2.713
-3.695 0.538 0.893
-0.768 -7.916 9.845
! magnetization: 0.187 μB/atom
! DFT total energy: -3.01 eV per atom
! energy of formation: 0.024 eV per atom
! Fermi-level density of states: 3.4 states/eV per cell